Record 1
Material: Ba4SCl5
Method: DFT, GGA-PBE
State: relaxed

Geometry as POSCAR:
```
Ba4SCl5
1.0
4.597 0.000 -1.264
-0.704 7.961 -2.562
0.300 -1.158 10.080
Cl Ba S
5 4 1
direct
0.826 0.576 0.651
0.174 0.424 0.349
0.500 0.500 0.000
0.826 0.076 0.652
0.174 0.924 0.348
0.000 0.247 0.000
0.685 0.185 0.370
0.315 0.815 0.630
0.000 0.753 0.000
0.500 0.000 0.000
```

## Properties
**Formation energy from raw total energies**: -2.26 eV/atom

=====

Record 2
Material: TaAl2HPt
Method: DFT, GGA-PBE
State: relaxed

Geometry as POSCAR:
```
TaAl2HPt
1.0
-2.733 -2.173 2.230
3.107 -1.708 2.143
-0.186 2.809 2.509
Al Ta H Pt
2 1 1 1
direct
0.000 0.500 0.000
0.500 0.000 0.000
0.000 0.000 0.500
0.000 0.000 0.000
0.500 0.500 0.500
```

=====

Record 3
Material: Cr2CoIrC
Method: DFT, GGA-PBE
State: relaxed

Geometry as POSCAR:
```
Cr2CoIrC
1.0
3.851 0.000 0.000
0.000 3.743 0.000
0.000 0.000 3.851
Co Cr C Ir
1 2 1 1
direct
0.000 0.500 0.000
0.000 0.000 0.500
0.500 0.000 0.000
0.000 0.000 0.000
0.500 0.500 0.500
```

## Properties
**ΔH_f (0 K)**: 0.06 eV per atom

=====

Record 4
Material: ScBiP2O8
Method: DFT, GGA-PBE
State: relaxed

Geometry as POSCAR:
```
ScBiP2O8
1.0
-1.604 -4.924 -0.656
1.986 1.509 4.585
-6.213 1.741 2.118
O P Bi Sc
8 2 1 1
direct
0.828 0.172 0.206
0.333 0.667 0.490
0.667 0.333 0.510
0.172 0.343 0.794
0.828 0.657 0.206
0.343 0.172 0.206
0.172 0.828 0.794
0.657 0.828 0.794
0.333 0.667 0.715
0.667 0.333 0.285
0.000 0.000 0.500
0.000 0.000 0.000
```

## Properties
**Formation energy from raw total energies**: -2.34 eV/atom

=====

Record 5
Material: Ba2NiMoSe
Method: DFT, GGA-PBE
State: relaxed

Geometry as POSCAR:
```
Ba2NiMoSe
1.0
-2.010 5.530 2.089
-5.347 -0.760 -3.132
-1.908 -2.118 3.772
Ba Mo Se Ni
2 1 1 1
direct
0.000 0.500 0.000
0.500 0.000 0.000
0.000 0.000 0.500
0.000 0.000 0.000
0.500 0.500 0.500
```

## Properties
**Formation energy from raw total energies**: 0.39 eV/atom

=====

Record 6
Material: Pa2OsRu4
Method: DFT, GGA-PBE
State: relaxed

Geometry as POSCAR:
```
Pa2OsRu4
1.0
-7.655 7.108 -1.106
-2.581 -2.093 4.414
5.735 1.675 0.689
Pa Ru Os
4 8 2
direct
0.497 0.832 0.663
0.004 0.670 0.340
0.503 0.168 0.337
0.996 0.330 0.660
0.749 0.982 0.498
0.249 0.251 0.001
0.751 0.749 0.999
0.749 0.515 0.498
0.751 0.250 0.999
0.249 0.750 0.001
0.251 0.018 0.502
0.251 0.485 0.502
0.000 0.000 0.000
0.500 0.500 0.000
```

## Properties
**ΔH_f (0 K)**: -0.04 eV per atom

=====

Record 7
Material: Sr2CuGe3Au4
Method: DFT, GGA-PBE
State: relaxed

Geometry as POSCAR:
```
Sr2CuGe3Au4
1.0
-3.113 -0.509 -3.322
3.302 -1.309 -2.893
-1.423 -9.880 2.846
Ge Sr Au Cu
3 2 4 1
direct
0.000 0.000 0.500
0.000 0.500 0.132
0.500 0.000 0.868
0.500 0.000 0.253
0.000 0.500 0.747
0.500 0.000 0.621
0.000 0.500 0.379
0.000 0.000 0.000
0.500 0.500 0.000
0.500 0.500 0.500
```

## Properties
**ΔH_f (0 K)**: -0.47 eV per atom

=====

Record 8
Material: Ba4RhO2
Method: DFT, GGA-PBE
State: relaxed

Geometry as POSCAR:
```
Ba4RhO2
1.0
4.168 0.000 0.000
-2.084 6.817 0.000
0.000 0.000 13.629
Ba Rh O
8 2 4
direct
0.500 0.000 0.500
0.224 0.447 0.611
0.776 0.553 0.389
0.224 0.447 0.889
0.936 0.872 0.750
0.776 0.553 0.111
0.064 0.128 0.250
0.500 0.000 0.000
0.602 0.203 0.750
0.398 0.797 0.250
0.869 0.738 0.554
0.869 0.738 0.946
0.131 0.262 0.446
0.131 0.262 0.054
```

## Properties
**Formation energy from raw total energies**: -1.38 eV/atom

=====

Record 9
Material: AcPm2Ga
Method: DFT, GGA-PBE
State: relaxed

Geometry as POSCAR:
```
AcPm2Ga
1.0
4.489 0.000 0.000
2.245 3.888 0.000
2.245 1.296 8.084
Ga Ac Pm
1 1 2
direct
0.667 0.667 0.999
0.500 0.500 0.501
0.275 0.275 0.175
0.059 0.059 0.824
```

## Properties
**ΔH_f (0 K)**: -0.05 eV per atom
**Distance to the lowest polymorph of the same formula**: 19.0 kJ/mol of atoms

=====

Record 10
Material: Te4AsW
Method: DFT, GGA-PBE
State: relaxed

Geometry as POSCAR:
```
Te4AsW
1.0
-5.863 0.850 1.709
-3.818 3.247 -3.591
-4.542 -2.851 -3.043
Te W As
4 1 1
direct
0.376 0.873 0.376
0.376 0.376 0.873
0.376 0.376 0.376
0.873 0.376 0.376
0.750 0.750 0.750
0.000 0.000 0.000
```

## Properties
**Formation energy from raw total energies**: 1.45 eV/atom

=====

Record 11
Material: Tb2GaPt6
Method: DFT, GGA-PBE
State: relaxed

Geometry as POSCAR:
```
Tb2GaPt6
1.0
5.631 0.000 0.000
-2.815 4.713 1.100
0.000 0.073 6.285
Tb Pt Ga
2 6 1
direct
0.646 0.292 0.140
0.354 0.708 0.860
0.392 0.266 0.689
0.878 0.756 0.692
0.608 0.734 0.311
0.122 0.244 0.308
0.874 0.266 0.689
0.126 0.734 0.311
0.000 0.000 0.000
```

## Properties
**ΔH_f (0 K)**: -1.00 eV per atom

=====

Record 12
Material: Pu5Ga2Rh4
Method: DFT, GGA-PBE
State: relaxed

Geometry as POSCAR:
```
Pu5Ga2Rh4
1.0
-1.745 0.164 3.371
-4.258 -2.875 -2.064
4.957 -8.840 0.856
Pu Rh Ga
5 4 2
direct
0.241 0.266 0.481
0.759 0.734 0.519
0.179 0.830 0.359
0.500 0.000 0.000
0.821 0.170 0.641
0.912 0.815 0.824
0.088 0.185 0.176
0.949 0.326 0.898
0.051 0.674 0.102
0.380 0.537 0.760
0.620 0.463 0.240
```

## Properties
**ΔH_f (0 K)**: -0.24 eV per atom

=====

Record 13
Material: Tl8PtO4
Method: DFT, GGA-PBE
State: relaxed

Geometry as POSCAR:
```
Tl8PtO4
1.0
-1.829 -7.005 0.236
5.726 2.005 -3.957
1.846 1.473 7.213
Tl O Pt
8 4 1
direct
0.308 0.464 0.772
0.799 0.960 0.759
0.195 0.524 0.222
0.805 0.476 0.778
0.699 0.027 0.222
0.692 0.536 0.228
0.201 0.040 0.241
0.301 0.973 0.778
0.238 0.238 0.000
0.762 0.762 0.000
0.717 0.237 0.954
0.283 0.763 0.046
0.000 0.500 0.500
```

## Properties
**Formation energy from raw total energies**: -0.45 eV/atom

=====

Record 14
Material: TiAsPSe2
Method: DFT, GGA-PBE
State: relaxed

Geometry as POSCAR:
```
TiAsPSe2
1.0
-4.719 0.884 0.469
-0.390 -3.707 3.061
0.973 3.122 3.905
P As Se Ti
1 1 2 1
direct
0.500 0.500 0.500
0.000 0.000 0.500
0.500 0.000 0.000
0.000 0.500 0.000
0.000 0.000 0.000
```

## Properties
**Distance to the lowest polymorph of the same formula**: 0.0 kJ/mol of atoms
**Formation energy from raw total energies**: 0.34 eV/atom

=====

Record 15
Material: La2Sm7Y4
Method: DFT, GGA-PBE
State: relaxed

Geometry as POSCAR:
```
La2Sm7Y4
1.0
6.215 0.000 0.000
-3.108 5.383 0.000
0.000 0.000 13.259
Sm Y La
7 4 2
direct
0.631 0.631 0.222
0.369 0.369 0.778
0.000 0.369 0.222
0.000 0.631 0.778
0.631 0.000 0.778
0.000 0.000 0.000
0.369 0.000 0.222
0.000 0.000 0.393
0.333 0.667 0.500
0.667 0.333 0.500
0.000 0.000 0.607
0.333 0.667 0.000
0.667 0.333 0.000
```

## Properties
**ΔH_f (0 K)**: 0.17 eV per atom

=====

Record 16
Material: CaPr2HgO
Method: DFT, GGA-PBE
State: relaxed

Geometry as POSCAR:
```
CaPr2HgO
1.0
4.790 0.000 0.000
0.000 5.048 0.000
0.000 0.000 5.048
O Pr Hg Ca
1 2 1 1
direct
0.000 0.000 0.000
0.000 0.500 0.000
0.000 0.000 0.500
0.500 0.500 0.500
0.500 0.000 0.000
```

## Properties
**Formation energy from raw total energies**: -1.31 eV/atom

=====

Record 17
Material: CeCo5SnP2
Method: DFT, GGA-PBE
State: relaxed

Geometry as POSCAR:
```
CeCo5SnP2
1.0
3.741 0.000 0.000
0.000 3.741 0.000
0.000 0.000 9.970
Co P Sn Ce
5 2 1 1
direct
0.000 0.500 0.820
0.500 0.500 0.500
0.000 0.500 0.180
0.500 0.000 0.820
0.500 0.000 0.180
0.500 0.500 0.715
0.500 0.500 0.285
0.000 0.000 0.000
0.000 0.000 0.500
```

## Properties
**ΔH_f (0 K)**: -0.40 eV per atom

=====

Record 18
Material: NbAsRh
Method: DFT, GGA-PBE
State: relaxed

Geometry as POSCAR:
```
NbAsRh
1.0
-2.667 2.165 -1.932
-4.153 -0.704 4.943
3.993 9.199 4.800
As Nb Rh
6 6 6
direct
0.750 0.264 0.749
0.750 0.246 0.086
0.750 0.758 0.586
0.250 0.736 0.251
0.250 0.754 0.914
0.250 0.242 0.414
0.250 0.345 0.920
0.750 0.655 0.080
0.250 0.467 0.613
0.750 0.038 0.285
0.250 0.962 0.715
0.750 0.533 0.387
0.250 0.376 0.206
0.750 0.012 0.911
0.750 0.145 0.542
0.250 0.988 0.089
0.750 0.624 0.794
0.250 0.855 0.458
```

## Properties
**ΔH_f (0 K)**: -0.59 eV per atom

=====

Record 19
Material: TlAuCS2
Method: DFT, GGA-PBE
State: relaxed

Geometry as POSCAR:
```
TlAuCS2
1.0
4.000 0.000 0.000
0.000 6.375 0.000
0.000 0.000 4.000
C Au Tl S
1 1 1 2
direct
0.000 0.000 0.000
0.500 0.500 0.500
0.000 0.500 0.000
0.000 0.000 0.500
0.500 0.000 0.000
```

## Properties
**Formation energy from raw total energies**: 1.08 eV/atom

=====

Record 20
Material: Ce2Al4CuAu3
Method: DFT, GGA-PBE
State: relaxed

Geometry as POSCAR:
```
Ce2Al4CuAu3
1.0
-1.929 -0.786 3.838
-2.970 -2.496 -2.004
6.122 -8.377 1.361
Au Al Ce Cu
3 4 2 1
direct
0.000 0.000 0.500
0.000 0.500 0.134
0.500 0.000 0.866
0.500 0.000 0.626
0.000 0.000 0.000
0.500 0.500 0.000
0.000 0.500 0.374
0.500 0.000 0.257
0.000 0.500 0.743
0.500 0.500 0.500
```

## Properties
**ΔH_f (0 K)**: -0.61 eV per atom

=====

Record 21
Material: In2Hg8As5Br7
Method: DFT, GGA-PBE
State: relaxed

Geometry as POSCAR:
```
In2Hg8As5Br7
1.0
3.963 -6.865 0.000
3.963 6.865 0.000
0.000 0.000 14.445
As Hg Br In
5 8 7 2
direct
0.000 0.000 0.500
0.333 0.667 0.927
0.333 0.667 0.574
0.667 0.333 0.073
0.667 0.333 0.426
0.500 0.500 0.500
0.500 0.000 0.500
0.500 0.000 0.000
0.000 0.500 0.000
0.667 0.333 0.250
0.000 0.500 0.500
0.500 0.500 0.000
0.333 0.667 0.750
0.000 0.000 0.000
0.176 0.824 0.260
0.351 0.176 0.740
0.824 0.176 0.740
0.824 0.649 0.740
0.176 0.351 0.260
0.649 0.824 0.260
0.000 0.000 0.679
0.000 0.000 0.321
```

## Properties
**Formation energy from raw total energies**: -0.22 eV/atom

=====

Record 22
Material: Dy3Er3Th2
Method: DFT, GGA-PBE
State: relaxed

Geometry as POSCAR:
```
Dy3Er3Th2
1.0
5.010 0.000 0.000
0.000 5.011 -0.001
-2.505 -2.508 10.040
Er Dy Th
3 3 2
direct
0.127 0.127 0.253
0.000 0.500 0.000
0.873 0.873 0.747
0.373 0.373 0.746
0.627 0.627 0.254
0.500 0.000 0.000
0.250 0.750 0.500
0.750 0.250 0.500
```

## Properties
**ΔH_f (0 K)**: 0.02 eV per atom
**Distance to the lowest polymorph of the same formula**: 0.0 kJ/mol of atoms

=====

Record 23
Material: Zn2Co2Rh
Method: DFT, GGA-PBE
State: relaxed

Geometry as POSCAR:
```
Zn2Co2Rh
1.0
6.839 0.000 0.000
0.000 6.839 0.000
0.000 0.000 2.782
Rh Co Zn
2 4 4
direct
0.000 0.000 0.000
0.500 0.500 0.000
0.616 0.116 0.000
0.384 0.884 0.000
0.884 0.616 0.000
0.116 0.384 0.000
0.819 0.319 0.500
0.681 0.819 0.500
0.319 0.181 0.500
0.181 0.681 0.500
```

## Properties
**ΔH_f (0 K)**: 0.12 eV per atom
**Distance to the lowest polymorph of the same formula**: 0.0 kJ/mol of atoms

=====

In the order shown, the computed E_tot values come out to -4.3696 -6.0665 -8.8275 -7.3995 -4.3956 -9.6542 -3.9105 -4.9462 -4.2057 -3.5755 -6.3923 -9.9793 -3.8995 -4.6412 -5.1210 -4.6785 -6.6553 -7.9469 -3.5451 -4.6854 -2.1668 -5.2691 -4.6981 eV/atom.
In the order shown, the computed density values come out to 3.527 11.058 10.984 4.599 4.579 13.940 9.488 5.868 6.905 7.705 15.554 14.007 10.331 4.367 6.312 7.326 7.323 9.480 7.774 8.677 5.848 9.574 8.974 g cm⁻³.
In the order shown, the computed magnetic moment values come out to 0.0 0.0 1.4 0.0 2.8 0.0 0.0 0.0 0.0 2.9 0.0 3.7 0.0 1.2 0.0 0.0 0.2 0.0 0.0 1.6 0.3 0.0 6.1 μB/cell.